Density functional theory data (PBE with a Hubbard U) for NpCo2O8 after structural relaxation.

Lattice parameters (Å, degrees): 3.672 6.107 7.607 102.74 94.06 103.41
Space group P-1 (No. 2)
Unique sites:
Np 0.000 0.000 0.000 x1
Co 0.322 0.656 0.612 x2
O 0.064 0.218 0.874 x2
O 0.199 0.419 0.394 x2
O 0.420 0.845 0.849 x2
O 0.425 0.086 0.509 x2

Properties
Size of the total moment ... 5.06 μB/cell
Total DFT energy (no corrections) ... -76.98 eV/cell
Calculated density ... 4.99 g cm⁻³